# 1
This record from the Alexandria database describes MgPtRh2 after structural relaxation. The functional is GGA-PBEsol.

As for the formation energy: -118 kJ/mol of formula units. As for the electronic total energy: -52.4 eV/cell. Its magnetization is 0.000 μB per atom.

It has space group I-4m2 (No. 119), with a = 3.8652 Å, b = 3.8652 Å, c = 7.6698 Å, α = 90.00°, β = 90.00° and γ = 90.00°. The inequivalent atoms are Mg at (0.0000, 0.0000, 0.0000), Pt at (0.0000, 0.5000, 0.7500), Rh at (0.0000, 0.0000, 0.5000) and Rh at (0.0000, 0.5000, 0.2500).

=====

# 2
This record from the Alexandria database describes LaY2HfW after structural relaxation. The functional is GGA-PBEsol.

As for the formation energy: 468 kJ/mol of formula units. As for the electronic total energy: -38.4 eV/cell. Its magnetization is 0.007 μB per atom.

It has space group P4/mmm (No. 123), with a = 5.3428 Å, b = 5.3428 Å, c = 5.3277 Å, α = 90.00°, β = 90.00° and γ = 90.00°. The inequivalent atoms are La at (0.0000, 0.0000, 0.0000), Y at (0.0000, 0.5000, 0.5000), Hf at (0.5000, 0.5000, 0.0000) and W at (0.0000, 0.0000, 0.5000).

=====

# 3
This record from the Alexandria database describes PtAu2 after structural relaxation. The functional is GGA-PBEsol.

As for the formation energy: 132 kJ/mol of formula units. As for the electronic total energy: -107.5 eV/cell. Its magnetization is 0.000 μB per atom.

It has space group Fd-3m (No. 227, origin choice 2), with a = 7.4636 Å, b = 7.4636 Å, c = 7.4636 Å, α = 90.00°, β = 90.00° and γ = 90.00°. The inequivalent atoms are Pt at (0.1250, 0.1250, 0.1250) and Au at (0.0000, 0.0000, 0.5000).

=====

# 4
This record from the Alexandria database describes TlAg3 after structural relaxation. The functional is GGA-PBEsol.

As for the formation energy: 27 kJ/mol of formula units. As for the electronic total energy: -49.1 eV/cell. Its magnetization is 0.000 μB per atom.

It has space group Cmcm (No. 63), with a = 5.9439 Å, b = 10.3091 Å, c = 4.7916 Å, α = 90.00°, β = 90.00° and γ = 90.00°. The inequivalent atoms are Tl at (0.0000, 0.1668, 0.2500), Ag at (0.0000, 0.3385, 0.7500) and Ag at (0.2427, 0.4192, 0.2500).

=====

# 5
This record from the Alexandria database describes MgSbTe2W after structural relaxation. The functional is GGA-PBEsol.

As for the electronic total energy: -19.8 eV/cell. As for the uncorrected formation energy: 1.467 eV/atom. Its magnetization is 0.704 μB per atom.

It has space group P4/mmm (No. 123), with a = 5.2485 Å, b = 5.2485 Å, c = 5.1165 Å, α = 90.00°, β = 90.00° and γ = 90.00°. The inequivalent atoms are Mg at (0.0000, 0.0000, 0.0000), Sb at (0.0000, 0.0000, 0.5000), Te at (0.0000, 0.5000, 0.0000) and W at (0.5000, 0.5000, 0.5000).

=====

# 6
This record from the Alexandria database describes BaLa2O4 after structural relaxation. The functional is GGA-PBEsol.

As for the electronic total energy: -224.8 eV/cell. As for the uncorrected formation energy: -3.195 eV/atom. Its magnetization is 0.000 μB per atom.

It has space group Pnma (No. 62), with a = 10.6130 Å, b = 3.6763 Å, c = 12.5467 Å, α = 90.00°, β = 90.00° and γ = 90.00°. The inequivalent atoms are Ba at (0.2486, 0.2500, 0.1464), La at (0.0733, 0.7500, 0.3853), La at (0.0848, 0.7500, 0.8889), O at (0.0102, 0.2500, 0.2829), O at (0.0673, 0.7500, 0.0776), O at (0.1266, 0.2500, 0.5154) and O at (0.2145, 0.2500, 0.8218).

=====

# 7
This record from the Alexandria database describes MnSbSe2I after structural relaxation. The functional is GGA-PBEsol.

As for the electronic total energy: -101.0 eV/cell. As for the uncorrected formation energy: -0.294 eV/atom. Its magnetization is 1.000 μB per atom.

It has space group C2/m (No. 12), with a = 13.0885 Å, b = 3.9996 Å, c = 9.8563 Å, α = 90.00°, β = 91.54° and γ = 90.00°. The inequivalent atoms are Mn at (0.0000, 0.0000, 0.0000), Mn at (0.0000, 0.0000, 0.5000), Sb at (0.2117, 0.5000, 0.3116), Se at (0.0719, 0.0000, 0.2573), Se at (0.1372, 0.5000, 0.5582) and I at (0.1369, 0.5000, 0.9262).

=====

# 8
This record from the Alexandria database describes ScI2NO after structural relaxation. The functional is GGA-PBEsol.

As for the electronic total energy: -22.6 eV/cell. As for the uncorrected formation energy: 0.271 eV/atom. Its magnetization is 0.294 μB per atom.

It has space group P4/mmm (No. 123), with a = 5.0007 Å, b = 5.0007 Å, c = 4.1508 Å, α = 90.00°, β = 90.00° and γ = 90.00°. The inequivalent atoms are Sc at (0.0000, 0.0000, 0.0000), I at (0.0000, 0.5000, 0.5000), N at (0.0000, 0.0000, 0.5000) and O at (0.5000, 0.5000, 0.0000).